Entry 1:
# ReTePt2

A relaxed ReTePt2 crystal (GGA-PBE, the Alexandria database).

```
data_ReTePt2
_chemical_formula_sum 'Re1 Te1 Pt2'
_cell_length_a 2.8422
_cell_length_b 3.7926
_cell_length_c 6.6774
_cell_angle_alpha 90.00
_cell_angle_beta 90.00
_cell_angle_gamma 90.00
_space_group_name_H-M_alt 'P m m m'
_space_group_IT_number 47
loop_
_space_group_symop_operation_xyz
'x,y,z'
'-x,-y,-z'
'-x,-y,z'
'x,y,-z'
'x,-y,-z'
'-x,y,z'
'-x,y,-z'
'x,-y,z'
loop_
_atom_site_label
_atom_site_type_symbol
_atom_site_fract_x
_atom_site_fract_y
_atom_site_fract_z
Re1 Re 0.0000 0.0000 0.0000
Te1 Te 0.0000 0.0000 0.5000
Pt1 Pt 0.5000 0.5000 0.2103
```



Entry 2:
# ReTePt2

A relaxed ReTePt2 crystal (GGA-PBE, the Alexandria database).

```
data_ReTePt2
_chemical_formula_sum 'Re4 Te4 Pt8'
_cell_length_a 6.4018
_cell_length_b 6.4018
_cell_length_c 9.4275
_cell_angle_alpha 90.00
_cell_angle_beta 90.00
_cell_angle_gamma 90.00
_space_group_name_H-M_alt 'I -4 2 d'
_space_group_IT_number 122
_space_group_name_Hall 'I -4 2bw'
loop_
_atom_site_label
_atom_site_type_symbol
_atom_site_fract_x
_atom_site_fract_y
_atom_site_fract_z
Re1 Re 0.0000 0.0000 0.0000
Te1 Te 0.0000 0.0000 0.5000
Pt1 Pt 0.2181 0.2500 0.1250
```



Entry 3:
# ReTe2Pt GGA-PBE relaxed
data_ReTe2Pt
_chemical_formula_sum 'Re2 Te4 Pt2'
_cell_length_a 3.1796
_cell_length_b 5.2792
_cell_length_c 9.5591
_cell_angle_alpha 90.00
_cell_angle_beta 90.00
_cell_angle_gamma 90.00
_space_group_name_H-M_alt 'C m m m'
_space_group_IT_number 65
_space_group_name_Hall '-C 2 2'
loop_
_atom_site_label
_atom_site_type_symbol
_atom_site_fract_x
_atom_site_fract_y
_atom_site_fract_z
Re1 Re 0.0000 0.0000 0.0000
Te1 Te 0.0000 0.5000 0.2382
Pt1 Pt 0.0000 0.0000 0.5000
# energy relative to the lowest polymorph listed for this composition = 596 meV/atom



Entry 4:
# ReTePt2

A relaxed ReTePt2 crystal (GGA-PBE, the Alexandria database).

```
data_ReTePt2
_chemical_formula_sum 'Re2 Te2 Pt4'
_cell_length_a 5.5468
_cell_length_b 8.5251
_cell_length_c 2.8936
_cell_angle_alpha 90.00
_cell_angle_beta 90.00
_cell_angle_gamma 90.00
_space_group_name_H-M_alt 'C m m m'
_space_group_IT_number 65
_space_group_name_Hall '-C 2 2'
loop_
_atom_site_label
_atom_site_type_symbol
_atom_site_fract_x
_atom_site_fract_y
_atom_site_fract_z
Re1 Re 0.0000 0.0000 0.0000
Te1 Te 0.0000 0.5000 0.0000
Pt1 Pt 0.2500 0.2500 0.5000
```



no.,total moment (Bohr magnetons per cell),uncorrected formation energy (kJ/mol of atoms),density of states at the Fermi level (states/eV/cell)
1,0.0,30.5,3.53
2,0.0,56.5,17.11
3,0.0,77.5,6.73
4,0.0,37.9,9.41